Record 1
LiCa2P, relaxed, DFT GGA-PBE; calculated volume = 97.9 Å³/f.u.; space-group type = No. 38
1.0
-0.3821 3.9437 1.4629
-2.1733 -1.4165 3.2508
3.6383 -1.3238 4.5191
P Ca Li
1 2 1
Direct
0.5000 0.5566 0.7616
0.5000 0.2741 0.3263
0.0000 0.9911 0.8927
0.0000 0.6781 0.5194

---

Record 2
CaTb2DySe4, relaxed, DFT GGA-PBE; calculated volume = 196.3 Å³/f.u.; space-group type = No. 10; energy relative to the elements, uncorrected = -1.818 eV/atom
1.0
4.0915 0.0000 0.0000
0.0000 7.1272 -0.1632
0.0000 2.4880 6.6735
Ca Se Tb Dy
1 4 2 1
Direct
0.0000 0.5000 0.5000
0.0000 0.7483 0.7509
0.5000 0.2498 0.7515
0.5000 0.7502 0.2485
0.0000 0.2517 0.2491
0.0000 0.0000 0.0000
0.5000 0.0000 0.5000
0.5000 0.5000 0.0000

---

Record 3
SrMg2InRu, relaxed, DFT GGA-PBE; calculated volume = 133.1 Å³/f.u.; space-group type = No. 123
1.0
-0.1979 0.8014 4.9919
0.5460 -4.9631 0.8185
5.1652 0.5865 0.1106
Mg In Ru Sr
2 1 1 1
Direct
0.5000 0.0000 0.0000
0.0000 0.5000 0.0000
0.0000 0.0000 0.5000
0.0000 0.0000 0.0000
0.5000 0.5000 0.5000

---

Record 4
Sm2GaAgO5, relaxed, DFT GGA-PBE; calculated volume = 127.5 Å³/f.u.; space-group type = No. 127; energy relative to the elements, uncorrected = -2.218 eV/atom
1.0
5.7162 0.0000 0.0000
0.0000 6.6793 0.0000
0.0000 0.0000 6.6793
Ga O Sm Ag
2 10 4 2
Direct
0.0000 0.5000 0.0000
0.0000 0.0000 0.5000
0.7557 0.6348 0.8652
0.2443 0.6348 0.8652
0.2443 0.3652 0.1348
0.7557 0.3652 0.1348
0.5000 0.5000 0.5000
0.2443 0.1348 0.6348
0.5000 0.0000 0.0000
0.7557 0.1348 0.6348
0.7557 0.8652 0.3652
0.2443 0.8652 0.3652
0.5000 0.6775 0.1775
0.5000 0.1775 0.3225
0.5000 0.8225 0.6775
0.5000 0.3225 0.8225
0.0000 0.0000 0.0000
0.0000 0.5000 0.5000

---

Record 5
Ga3SnH, relaxed, DFT GGA-PBE; calculated volume = 89.2 Å³/f.u.; space-group type = No. 221
1.0
4.4674 0.0000 0.0000
0.0000 4.4674 0.0000
0.0000 0.0000 4.4674
Ga H Sn
3 1 1
Direct
0.0000 0.0000 0.5000
0.0000 0.5000 0.0000
0.5000 0.0000 0.0000
0.0000 0.0000 0.0000
0.5000 0.5000 0.5000

---

Record 6
Pm2CoSb4Rh3, relaxed, DFT GGA-PBE; calculated volume = 212.7 Å³/f.u.; space-group type = No. 115; energy relative to the elements, uncorrected = -0.701 eV/atom
1.0
4.4924 0.0000 0.0000
0.0000 4.4924 0.0000
0.0000 0.0000 10.5409
Sb Rh Pm Co
4 3 2 1
Direct
0.0000 0.0000 0.0000
0.5000 0.0000 0.6273
0.5000 0.5000 0.0000
0.0000 0.5000 0.3727
0.0000 0.0000 0.5000
0.5000 0.0000 0.8719
0.0000 0.5000 0.1281
0.0000 0.5000 0.7391
0.5000 0.0000 0.2609
0.5000 0.5000 0.5000

---

Record 7
Nd5Si5Tc2, relaxed, DFT GGA-PBE; calculated volume = 275.5 Å³/f.u.; space-group type = No. 12; energy relative to the elements, uncorrected = -0.483 eV/atom
1.0
-2.4859 -0.2666 -3.5673
-1.5201 -5.0021 4.0928
-6.4413 6.7723 3.9825
Nd Tc Si
5 2 5
Direct
0.3511 0.7022 0.9062
0.5000 0.0000 0.5000
0.2214 0.4428 0.6040
0.7786 0.5572 0.3960
0.6489 0.2978 0.0938
0.0758 0.1516 0.8083
0.9242 0.8484 0.1917
0.9015 0.8030 0.6770
0.0985 0.1970 0.3230
0.3481 0.6961 0.2164
0.0000 0.0000 0.0000
0.6519 0.3039 0.7836

---

Record 8
La2HfSi2, relaxed, DFT GGA-PBE; calculated volume = 123.0 Å³/f.u.; space-group type = No. 127; energy relative to the elements, uncorrected = -0.551 eV/atom
1.0
-2.3238 2.5899 -6.4741
-6.9718 -0.9850 2.1084
-0.0773 4.2188 1.7154
Si La Hf
4 4 2
Direct
0.1231 0.3769 0.0000
0.6231 0.1231 0.0000
0.3769 0.8769 0.0000
0.8769 0.6231 0.0000
0.6773 0.8227 0.5000
0.3227 0.1773 0.5000
0.8227 0.3227 0.5000
0.1773 0.6773 0.5000
0.0000 0.0000 0.0000
0.5000 0.5000 0.0000

---

Across the entries above, VASP energy takes the values -13.93, -44.35, -17.46, -120.13, -15.51, -62.16, -77.48, -66.82 eV/cell, respectively.